# 1
La2TiSiW: relaxed, PBE-GGA.

a = 5.510 Å, b = 5.510 Å, c = 4.769 Å
α = 90.00°, β = 90.00°, γ = 90.00°
Fractional coordinates of all 5 atoms:
1 La 0.000 0.500 0.000
2 La 0.500 0.000 0.000
3 Ti 0.000 0.000 0.500
4 Si 0.500 0.500 0.500
5 W 0.000 0.000 0.000

E_form (uncorrected) (meV per atom): 668
Crystal system: tetragonal
M_tot (μB per formula unit): 0.01


# 2
Lu2ThTc: relaxed, PBE-GGA.

a = 3.404 Å, b = 3.404 Å, c = 8.777 Å
α = 90.00°, β = 90.00°, γ = 90.00°
Fractional coordinates of all 4 atoms:
1 Lu 0.000 0.000 0.184
2 Lu 0.000 0.000 0.816
3 Th 0.500 0.500 0.500
4 Tc 0.500 0.500 0.000

Crystal system: tetragonal
M_tot (μB per formula unit): 0.01
Energy of formation from the pure elements (meV per atom): -9


# 3
CdHRh3: relaxed, PBE-GGA.

a = 5.469 Å, b = 5.469 Å, c = 5.211 Å
α = 90.00°, β = 90.00°, γ = 120.73°
Fractional coordinates of all 10 atoms:
1 Cd 0.058 0.942 0.750
2 Cd 0.942 0.058 0.250
3 H 0.355 0.645 0.250
4 H 0.645 0.355 0.750
5 Rh 0.035 0.442 0.750
6 Rh 0.442 0.035 0.250
7 Rh 0.500 0.500 0.000
8 Rh 0.500 0.500 0.500
9 Rh 0.558 0.965 0.750
10 Rh 0.965 0.558 0.250

Crystal system: orthorhombic
M_tot (μB per formula unit): 0.00
ΔE to the lowest computed polymorph (meV per atom): 179


# 4
Li3Mg2In4: relaxed, PBE-GGA.

a = 8.810 Å, b = 8.810 Å, c = 8.810 Å
α = 158.79°, β = 123.50°, γ = 61.04°
Fractional coordinates of all 9 atoms:
1 Li 0.000 0.000 0.000
2 Li 0.349 0.849 0.500
3 Li 0.651 0.151 0.500
4 Mg 0.328 0.500 0.828
5 Mg 0.672 0.500 0.172
6 In 0.007 0.329 0.678
7 In 0.349 0.671 0.678
8 In 0.651 0.329 0.322
9 In 0.993 0.671 0.322

Crystal system: orthorhombic
M_tot (μB per formula unit): 0.00
Energy of formation from the pure elements (meV per atom): -114
ΔE to the lowest computed polymorph (meV per atom): 85


# 5
La4SbSe2I: relaxed, PBE-GGA.

a = 7.703 Å, b = 4.445 Å, c = 7.802 Å
α = 90.00°, β = 109.21°, γ = 90.00°
Fractional coordinates of all 8 atoms:
1 La 0.226 0.000 0.216
2 La 0.246 0.500 0.775
3 La 0.754 0.500 0.225
4 La 0.774 0.000 0.784
5 Sb 0.000 0.000 0.500
6 Se 0.000 0.500 0.000
7 Se 0.500 0.000 0.000
8 I 0.500 0.500 0.500

E_form (uncorrected) (meV per atom): -1590
Crystal system: monoclinic
M_tot (μB per formula unit): 0.00


# 6
RbAuC2: relaxed, PBE-GGA.

a = 6.106 Å, b = 6.106 Å, c = 6.106 Å
α = 113.87°, β = 113.87°, γ = 100.99°
Fractional coordinates of all 8 atoms:
1 Rb 0.000 0.000 0.000
2 Rb 0.750 0.250 0.500
3 Au 0.250 0.750 0.500
4 Au 0.500 0.500 0.000
5 C 0.274 0.625 0.149
6 C 0.375 0.524 0.649
7 C 0.476 0.125 0.851
8 C 0.875 0.726 0.351

Crystal system: tetragonal
M_tot (μB per formula unit): 2.00
Energy of formation from the pure elements (meV per atom): 1878
ΔE to the lowest computed polymorph (meV per atom): 1699


# 7
DyMgS3: relaxed, PBE-GGA.

a = 6.918 Å, b = 6.918 Å, c = 6.773 Å
α = 106.23°, β = 106.23°, γ = 112.05°
Fractional coordinates of all 10 atoms:
1 Dy 0.218 0.218 0.251
2 Dy 0.782 0.782 0.749
3 Mg 0.339 0.661 0.000
4 Mg 0.661 0.339 0.000
5 S 0.073 0.772 0.149
6 S 0.228 0.927 0.851
7 S 0.417 0.417 0.709
8 S 0.583 0.583 0.291
9 S 0.772 0.073 0.149
10 S 0.927 0.228 0.851

E_form (uncorrected) (meV per atom): -1262
Crystal system: monoclinic
M_tot (μB per formula unit): 1.01
ΔE to the lowest computed polymorph (meV per atom): 81


# 8
Ru2W: relaxed, PBE-GGA.

a = 5.040 Å, b = 5.040 Å, c = 5.040 Å
α = 60.00°, β = 60.00°, γ = 60.00°
Fractional coordinates of all 6 atoms:
1 Ru 0.000 0.000 0.000
2 Ru 0.000 0.000 0.500
3 Ru 0.000 0.500 0.000
4 Ru 0.500 0.000 0.000
5 W 0.375 0.375 0.375
6 W 0.625 0.625 0.625

Crystal system: cubic
M_tot (μB per formula unit): 0.00
Energy of formation from the pure elements (meV per atom): 354


# 9
Hg2Pd6S: relaxed, PBE-GGA.

a = 6.014 Å, b = 6.014 Å, c = 6.014 Å
α = 60.00°, β = 60.00°, γ = 60.00°
Fractional coordinates of all 9 atoms:
1 Hg 0.250 0.250 0.250
2 Hg 0.750 0.750 0.750
3 Pd 0.235 0.235 0.765
4 Pd 0.235 0.765 0.235
5 Pd 0.235 0.765 0.765
6 Pd 0.765 0.235 0.235
7 Pd 0.765 0.235 0.765
8 Pd 0.765 0.765 0.235
9 S 0.500 0.500 0.500

E_form (uncorrected) (meV per atom): -161
Crystal system: cubic
M_tot (μB per formula unit): 0.00


# 10
Mg5Tl2Hg2: relaxed, PBE-GGA.

a = 8.464 Å, b = 8.464 Å, c = 7.581 Å
α = 90.00°, β = 90.00°, γ = 53.45°
Fractional coordinates of all 18 atoms:
1 Mg 0.000 0.000 0.000
2 Mg 0.035 0.711 0.664
3 Mg 0.211 0.535 0.164
4 Mg 0.289 0.965 0.664
5 Mg 0.465 0.789 0.164
6 Mg 0.500 0.500 0.500
7 Mg 0.535 0.211 0.836
8 Mg 0.711 0.035 0.336
9 Mg 0.789 0.465 0.836
10 Mg 0.965 0.289 0.336
11 Tl 0.213 0.213 0.000
12 Tl 0.287 0.287 0.500
13 Tl 0.713 0.713 0.500
14 Tl 0.787 0.787 0.000
15 Hg 0.142 0.858 0.357
16 Hg 0.358 0.642 0.857
17 Hg 0.642 0.358 0.143
18 Hg 0.858 0.142 0.643

Crystal system: orthorhombic
M_tot (μB per formula unit): 0.00
Energy of formation from the pure elements (meV per atom): -94


# 11
Mn2TlSe: relaxed, PBE-GGA.

a = 3.386 Å, b = 4.676 Å, c = 5.289 Å
α = 90.00°, β = 107.76°, γ = 90.00°
Fractional coordinates of all 4 atoms:
1 Mn 0.000 0.000 0.000
2 Mn 0.374 0.500 0.753
3 Tl 0.720 0.000 0.471
4 Se 0.062 0.500 0.137

E_form (uncorrected) (meV per atom): 246
Crystal system: monoclinic
M_tot (μB per formula unit): 7.08
ΔE to the lowest computed polymorph (meV per atom): 130


# 12
PuHfPa2: relaxed, PBE-GGA.

a = 8.971 Å, b = 8.971 Å, c = 8.971 Å
α = 22.73°, β = 22.73°, γ = 22.73°
Fractional coordinates of all 4 atoms:
1 Pu 0.000 0.000 0.000
2 Hf 0.161 0.161 0.161
3 Pa 0.593 0.593 0.593
4 Pa 0.724 0.724 0.724

Crystal system: trigonal
M_tot (μB per formula unit): 1.94
Energy of formation from the pure elements (meV per atom): 401
ΔE to the lowest computed polymorph (meV per atom): 326